TeW2F | SCAN | single point on PBEsol structure

extended XYZ file:
```
4
Lattice="-2.063 -2.339 -3.158 1.931 -3.615 -1.703 -1.623 -4.026 0.923" Properties=species:S:1:pos:R:3 pbc="T T T"
Te -0.877 -4.990 -1.969
W -0.439 -2.495 -0.984
W -1.316 -7.485 -2.953
F 0.000 0.000 0.000
```

Output
For the uncorrected formation energy, the calculation gives 0.738 eV/atom. As for the space-group type: Fm-3m, No. 225.